1.
Pb3S2I: optimized geometry, GGA-PBE.

Unit cell a=9.1122 b=9.1122 c=9.1122 alpha=129.65 beta=69.27 gamma=135.72
Last column: nearest neighbours and their distance in Å.
Fractional positions:
1 Pb 0.0000 0.2454 0.2454  2 S 2.76
2 Pb 0.0000 0.7546 0.7546  2 S 2.76
3 Pb 0.5000 0.0000 0.0000  4 S 2.97, 2 I 3.27
4 Pb 0.5000 0.2454 0.7454  2 S 2.76
5 Pb 0.5000 0.5000 0.5000  4 S 2.97, 2 I 3.27
6 Pb 0.5000 0.7546 0.2546  2 S 2.76
7 S 0.2659 0.6605 0.6054  4 Pb 2.76-2.97
8 S 0.4450 0.3395 0.1054  4 Pb 2.76-2.97
9 S 0.5550 0.6605 0.8946  4 Pb 2.76-2.97
10 S 0.7341 0.3395 0.3946  4 Pb 2.76-2.97
11 I 0.1165 0.8665 0.2500  2 Pb 3.27
12 I 0.8835 0.1335 0.7500  2 Pb 3.27

Computed properties:
DOS(E_F), states/eV/cell: 2.47
Symmetry: Imma
Formation energy (no corrections), eV per atom: -0.331

2.
YTe2AuI: optimized geometry, GGA-PBE.

Unit cell a=5.9165 b=5.9165 c=5.8248 alpha=90.00 beta=90.00 gamma=90.00
Last column: nearest neighbours and their distance in Å.
Fractional positions:
1 Y 0.0000 0.0000 0.0000  2 I 2.91, 4 Te 2.96
2 Te 0.0000 0.5000 0.0000  2 Y 2.96
3 Te 0.5000 0.0000 0.0000  2 Y 2.96
4 Au 0.5000 0.5000 0.5000  8 Te 4.15, 4 I 4.18
5 I 0.0000 0.0000 0.5000  2 Y 2.91

Computed properties:
DOS(E_F), states/eV/cell: 7.07
Symmetry: P4/mmm
ΔE to the lowest computed polymorph, meV per atom: 74.9
Formation energy (no corrections), eV per atom: -0.017

3.
YMgNi2: optimized geometry, GGA-PBE.

Unit cell a=4.0039 b=4.0039 c=17.2788 alpha=90.00 beta=90.00 gamma=120.00
Last column: nearest neighbours and their distance in Å.
Fractional positions:
1 Y 0.0000 0.0000 0.0000  6 Ni 2.89, 1 Mg 3.19
2 Y 0.3333 0.6667 0.6667  6 Ni 2.89, 1 Mg 3.19
3 Y 0.6667 0.3333 0.3333  6 Ni 2.89, 1 Mg 3.19
4 Mg 0.0000 0.0000 0.1848  6 Ni 2.73
5 Mg 0.3333 0.6667 0.8515  6 Ni 2.73
6 Mg 0.6667 0.3333 0.5182  6 Ni 2.73
7 Ni 0.0000 0.0000 0.4339  3 Ni 2.31
8 Ni 0.0000 0.0000 0.7675  3 Ni 2.31
9 Ni 0.3333 0.6667 0.1006  3 Ni 2.31
10 Ni 0.3333 0.6667 0.4342  3 Ni 2.31
11 Ni 0.6667 0.3333 0.1008  3 Ni 2.31
12 Ni 0.6667 0.3333 0.7672  3 Ni 2.31

Computed properties:
ΔE_f, meV per atom: -173
DOS(E_F), states/eV/cell: 12.87
Symmetry: R3m

4.
BaSiAu: optimized geometry, GGA-PBE.

Unit cell a=7.0909 b=7.0909 c=7.0909 alpha=90.00 beta=90.00 gamma=90.00
Last column: nearest neighbours and their distance in Å.
Fractional positions:
1 Ba 0.0000 0.0000 0.0000  4 Si 3.07
2 Ba 0.0000 0.5000 0.5000  4 Si 3.07
3 Ba 0.5000 0.0000 0.5000  4 Si 3.07
4 Ba 0.5000 0.5000 0.0000  4 Si 3.07
5 Si 0.2500 0.2500 0.2500  4 Ba 3.07, 4 Au 3.07
6 Si 0.2500 0.7500 0.7500  4 Ba 3.07, 4 Au 3.07
7 Si 0.7500 0.2500 0.7500  4 Ba 3.07, 4 Au 3.07
8 Si 0.7500 0.7500 0.2500  4 Ba 3.07, 4 Au 3.07
9 Au 0.0000 0.0000 0.5000  4 Si 3.07
10 Au 0.0000 0.5000 0.0000  4 Si 3.07
11 Au 0.5000 0.0000 0.0000  4 Si 3.07
12 Au 0.5000 0.5000 0.5000  4 Si 3.07

Computed properties:
DOS(E_F), states/eV/cell: 13.74
Symmetry: F-43m
Formation energy (no corrections), eV per atom: -0.009

5.
YN2Cl: optimized geometry, GGA-PBE.

Unit cell a=3.6986 b=3.6986 c=17.6814 alpha=90.00 beta=90.00 gamma=120.00
Last column: nearest neighbours and their distance in Å.
Fractional positions:
1 Y 0.0000 0.0000 0.0000  6 N 2.38
2 Y 0.3333 0.6667 0.6667  6 N 2.38
3 Y 0.6667 0.3333 0.3333  6 N 2.38
4 N 0.0000 0.0000 0.3930  1 Cl 1.89
5 N 0.0000 0.0000 0.6070  1 Cl 1.89
6 N 0.3333 0.6667 0.0596  1 Cl 1.89
7 N 0.3333 0.6667 0.2737  1 Cl 1.89
8 N 0.6667 0.3333 0.7263  1 Cl 1.89
9 N 0.6667 0.3333 0.9404  1 Cl 1.89
10 Cl 0.0000 0.0000 0.5000  2 N 1.89
11 Cl 0.3333 0.6667 0.1667  2 N 1.89
12 Cl 0.6667 0.3333 0.8333  2 N 1.89

Computed properties:
DOS(E_F), states/eV/cell: 9.58
Symmetry: R-3m
ΔE to the lowest computed polymorph, meV per atom: 0.0
Formation energy (no corrections), eV per atom: 0.096

6.
La10Bi3Sb3: optimized geometry, GGA-PBE.

Unit cell a=9.6482 b=9.6482 c=6.6905 alpha=90.00 beta=90.00 gamma=120.00
Last column: nearest neighbours and their distance in Å.
Fractional positions:
1 La 0.0000 0.2541 0.0000  3 Bi 3.27-3.48, 2 Sb 3.57
2 La 0.0000 0.7466 0.5000  3 Sb 3.26-3.51, 2 Bi 3.58
3 La 0.2534 0.2534 0.5000  3 Sb 3.26-3.51, 2 Bi 3.58
4 La 0.2541 0.0000 0.0000  3 Bi 3.27-3.48, 2 Sb 3.57
5 La 0.3333 0.6667 0.2545  2 La 3.29-3.41, 3 Sb 3.42, 3 Bi 3.45
6 La 0.3333 0.6667 0.7455  2 La 3.29-3.41, 3 Sb 3.42, 3 Bi 3.45
7 La 0.6667 0.3333 0.2545  2 La 3.29-3.41, 3 Sb 3.42, 3 Bi 3.45
8 La 0.6667 0.3333 0.7455  2 La 3.29-3.41, 3 Sb 3.42, 3 Bi 3.45
9 La 0.7459 0.7459 0.0000  3 Bi 3.27-3.48, 2 Sb 3.57
10 La 0.7466 0.0000 0.5000  3 Sb 3.26-3.51, 2 Bi 3.58
11 Bi 0.0000 0.6149 0.0000  9 La 3.27-3.58
12 Bi 0.3851 0.3851 0.0000  9 La 3.27-3.58
13 Bi 0.6149 0.0000 0.0000  9 La 3.27-3.58
14 Sb 0.0000 0.3831 0.5000  9 La 3.26-3.57
15 Sb 0.3831 0.0000 0.5000  9 La 3.26-3.57
16 Sb 0.6169 0.6169 0.5000  9 La 3.26-3.57

Computed properties:
DOS(E_F), states/eV/cell: 21.37
Symmetry: P-62m
Formation energy (no corrections), eV per atom: -0.920

7.
CoP2Se: optimized geometry, GGA-PBE.

Unit cell a=3.4391 b=3.4391 c=5.2961 alpha=90.00 beta=90.00 gamma=90.00
Last column: nearest neighbours and their distance in Å.
Fractional positions:
1 Co 0.0000 0.0000 0.0000  4 Se 2.43
2 P 0.0000 0.5000 0.5000  4 P 2.43
3 P 0.5000 0.0000 0.5000  4 P 2.43
4 Se 0.5000 0.5000 0.0000  4 Co 2.43

Computed properties:
DOS(E_F), states/eV/cell: 4.07
Symmetry: P4/mmm
Formation energy (no corrections), eV per atom: 0.579

8.
Ba15Na2Sr2: optimized geometry, GGA-PBE.

Unit cell a=11.3348 b=11.3348 c=11.3348 alpha=66.64 beta=66.64 gamma=66.64
Last column: nearest neighbours and their distance in Å.
Fractional positions:
1 Ba 0.0000 0.0000 0.5000  2 Na 4.30, 8 Ba 4.48-4.79
2 Ba 0.0000 0.3053 0.6947  4 Ba 3.80-3.90
3 Ba 0.0000 0.5000 0.0000  2 Na 4.30, 8 Ba 4.48-4.79
4 Ba 0.0000 0.6947 0.3053  4 Ba 3.80-3.90
5 Ba 0.2055 0.5607 0.5607  4 Ba 3.90-3.96
6 Ba 0.3053 0.0000 0.6947  4 Ba 3.80-3.90
7 Ba 0.3053 0.6947 0.0000  4 Ba 3.80-3.90
8 Ba 0.4393 0.4393 0.7945  4 Ba 3.90-3.96
9 Ba 0.4393 0.7945 0.4393  4 Ba 3.90-3.96
10 Ba 0.5000 0.0000 0.0000  2 Na 4.30, 8 Ba 4.48-4.79
11 Ba 0.5607 0.2055 0.5607  4 Ba 3.90-3.96
12 Ba 0.5607 0.5607 0.2055  4 Ba 3.90-3.96
13 Ba 0.6947 0.0000 0.3053  4 Ba 3.80-3.90
14 Ba 0.6947 0.3053 0.0000  4 Ba 3.80-3.90
15 Ba 0.7945 0.4393 0.4393  4 Ba 3.90-3.96
16 Na 0.0771 0.0771 0.0771  1 Na 4.05, 9 Ba 4.30-4.31
17 Na 0.9229 0.9229 0.9229  1 Na 4.05, 9 Ba 4.30-4.31
18 Sr 0.2899 0.2899 0.2899  15 Ba 4.48-4.95
19 Sr 0.7101 0.7101 0.7101  15 Ba 4.48-4.95

Computed properties:
ΔE_f, meV per atom: 197
DOS(E_F), states/eV/cell: 30.64
Symmetry: R-3m

9.
DyYHg4: optimized geometry, GGA-PBE.

Unit cell a=5.9471 b=5.9471 c=5.9471 alpha=60.00 beta=60.00 gamma=60.00
Last column: nearest neighbours and their distance in Å.
Fractional positions:
1 Dy 0.0000 0.0000 0.0000  12 Hg 3.49, 4 Y 3.64
2 Y 0.2500 0.2500 0.2500  12 Hg 3.49, 4 Dy 3.64
3 Hg 0.1250 0.6250 0.6250  6 Hg 2.97
4 Hg 0.6250 0.1250 0.6250  6 Hg 2.97
5 Hg 0.6250 0.6250 0.1250  6 Hg 2.97
6 Hg 0.6250 0.6250 0.6250  6 Hg 2.97

Computed properties:
ΔE_f, meV per atom: -203
DOS(E_F), states/eV/cell: 5.61
Symmetry: F-43m
ΔE to the lowest computed polymorph, meV per atom: 175.9

10.
KPaAgTe4: optimized geometry, GGA-PBE.

Unit cell a=9.6997 b=9.6997 c=7.9168 alpha=90.00 beta=90.00 gamma=142.37
Last column: nearest neighbours and their distance in Å.
Fractional positions:
1 K 0.0858 0.9142 0.7500  3 Te 3.38-3.43, 2 Ag 3.44
2 K 0.9142 0.0858 0.2500  3 Te 3.38-3.43, 2 Ag 3.44
3 Pa 0.3556 0.6444 0.7500  7 Te 2.96-3.23
4 Pa 0.6444 0.3556 0.2500  7 Te 2.96-3.23
5 Ag 0.3359 0.6641 0.2500  5 Te 2.71-2.97
6 Ag 0.6641 0.3359 0.7500  5 Te 2.71-2.97
7 Te 0.0000 0.5000 0.0000  2 Ag 2.97, 2 Te 3.13, 2 Pa 3.18
8 Te 0.0000 0.5000 0.5000  2 Ag 2.97, 2 Te 3.13, 2 Pa 3.18
9 Te 0.1011 0.8989 0.2500  2 Pa 3.23, 1 K 3.43
10 Te 0.4835 0.5165 0.2500  1 Ag 2.71, 1 Pa 2.96
11 Te 0.5000 0.0000 0.0000  2 Ag 2.97, 2 Te 3.13, 2 Pa 3.18
12 Te 0.5000 0.0000 0.5000  2 Ag 2.97, 2 Te 3.13, 2 Pa 3.18
13 Te 0.5165 0.4835 0.7500  1 Ag 2.71, 1 Pa 2.96
14 Te 0.8989 0.1011 0.7500  2 Pa 3.23, 1 K 3.43

Computed properties:
DOS(E_F), states/eV/cell: 8.50
Symmetry: Cmcm
Formation energy (no corrections), eV per atom: -0.431

11.
LaNd6SmHo2: optimized geometry, GGA-PBE.

Unit cell a=8.9850 b=8.9850 c=9.8159 alpha=94.09 beta=94.09 gamma=117.29
Last column: nearest neighbours and their distance in Å.
Fractional positions:
1 La 0.0942 0.9058 0.7500  6 Nd 3.51-3.63, 2 Ho 3.63
2 La 0.9058 0.0942 0.2500  6 Nd 3.51-3.63, 2 Ho 3.63
3 Nd 0.0115 0.7960 0.3797  3 Nd 3.29-3.46, 3 Ho 3.37-3.52, 2 La 3.51-3.63
4 Nd 0.0654 0.5183 0.1811  2 Nd 3.29-3.61, 1 Ho 3.52, 1 La 3.54, 1 Sm 3.59
5 Nd 0.2040 0.9885 0.1203  3 Nd 3.29-3.46, 3 Ho 3.37-3.52, 2 La 3.51-3.63
6 Nd 0.2584 0.6093 0.5560  7 Nd 3.46-3.86, 1 Ho 3.51, 2 Sm 3.71-3.85
7 Nd 0.3907 0.7416 0.9440  7 Nd 3.46-3.86, 1 Ho 3.51, 2 Sm 3.71-3.85
8 Nd 0.4817 0.9346 0.3189  2 Nd 3.29-3.61, 1 Ho 3.52, 1 La 3.54, 1 Sm 3.59
9 Nd 0.5183 0.0654 0.6811  2 Nd 3.29-3.61, 1 Ho 3.52, 1 La 3.54, 1 Sm 3.59
10 Nd 0.6093 0.2584 0.0560  7 Nd 3.46-3.86, 1 Ho 3.51, 2 Sm 3.71-3.85
11 Nd 0.7416 0.3907 0.4440  7 Nd 3.46-3.86, 1 Ho 3.51, 2 Sm 3.71-3.85
12 Nd 0.7960 0.0115 0.8797  3 Nd 3.29-3.46, 3 Ho 3.37-3.52, 2 La 3.51-3.63
13 Nd 0.9346 0.4817 0.8189  2 Nd 3.29-3.61, 1 Ho 3.52, 1 La 3.54, 1 Sm 3.59
14 Nd 0.9885 0.2040 0.6203  3 Nd 3.29-3.46, 3 Ho 3.37-3.52, 2 La 3.51-3.63
15 Sm 0.4688 0.5312 0.2500  4 Ho 3.45-3.46, 6 Nd 3.59-3.85
16 Sm 0.5312 0.4688 0.7500  4 Ho 3.45-3.46, 6 Nd 3.59-3.85
17 Ho 0.2079 0.3043 0.9527  6 Nd 3.37-3.70, 2 Sm 3.45-3.46, 1 La 3.63
18 Ho 0.3043 0.2079 0.4527  6 Nd 3.37-3.70, 2 Sm 3.45-3.46, 1 La 3.63
19 Ho 0.6957 0.7921 0.5473  6 Nd 3.37-3.70, 2 Sm 3.45-3.46, 1 La 3.63
20 Ho 0.7921 0.6957 0.0473  6 Nd 3.37-3.70, 2 Sm 3.45-3.46, 1 La 3.63

Computed properties:
ΔE_f, meV per atom: 112
DOS(E_F), states/eV/cell: 29.50
Symmetry: C2/c

12.
YZn4Si: optimized geometry, GGA-PBE.

Unit cell a=5.3255 b=5.3255 c=5.3255 alpha=60.00 beta=60.00 gamma=60.00
Last column: nearest neighbours and their distance in Å.
Fractional positions:
1 Y 0.0000 0.0000 0.0000  12 Zn 3.12, 4 Si 3.26
2 Zn 0.3749 0.3749 0.3749  6 Zn 2.66
3 Zn 0.3749 0.3749 0.8752  6 Zn 2.66
4 Zn 0.3749 0.8752 0.3749  6 Zn 2.66
5 Zn 0.8752 0.3749 0.3749  6 Zn 2.66
6 Si 0.7500 0.7500 0.7500  12 Zn 3.12, 4 Y 3.26

Computed properties:
DOS(E_F), states/eV/cell: 2.81
Symmetry: F-43m
Formation energy (no corrections), eV per atom: -0.023